# 1
First-principles (GGA-PBE) data for a geometry-optimized Ho2BeAlCu6 structure, as listed in Alexandria via LeMat-Bulk.

Computed properties:
Its space group is No. 2.

Cell: 5.890 6.407 5.883 Å, 62.91 59.96 89.97°
Sites, in units of the cell vectors:
Ho 0.781 0.345 0.438
Ho 0.219 0.655 0.562
Be 0.000 0.000 0.000
Al 0.500 0.500 0.000
Cu 0.239 0.152 0.519
Cu 0.760 0.851 0.909
Cu 0.333 0.851 0.905
Cu 0.667 0.148 0.095
Cu 0.240 0.149 0.091
Cu 0.761 0.848 0.481

# 2
First-principles (GGA-PBE) data for a geometry-optimized HoBeAlCu6 structure, as listed in Alexandria via LeMat-Bulk.

Computed properties:
Its space group is No. 74.

Cell: 6.179 7.841 7.400 Å, 121.99 114.68 90.00°
Sites, in units of the cell vectors:
Ho 0.706 0.456 0.412
Ho 0.294 0.544 0.588
Be 0.500 0.500 0.000
Be 0.500 0.000 0.000
Al 0.500 0.000 0.500
Al 0.000 0.000 0.500
Cu 0.575 0.825 0.150
Cu 0.015 0.265 0.029
Cu 0.914 0.109 0.229
Cu 0.315 0.620 0.229
Cu 0.315 0.109 0.229
Cu 0.914 0.620 0.229
Cu 0.425 0.175 0.850
Cu 0.985 0.735 0.971
Cu 0.086 0.891 0.771
Cu 0.685 0.380 0.771
Cu 0.685 0.891 0.771
Cu 0.086 0.380 0.771

# 3
First-principles (GGA-PBE) data for a geometry-optimized BeAlCuIr structure, as listed in Alexandria via LeMat-Bulk.

Computed properties:
Its space group is No. 216.

Cell: 4.102 4.102 4.102 Å, 60.00 60.00 60.00°
Sites, in units of the cell vectors:
Be 0.500 0.500 0.500
Ir 0.750 0.750 0.750
Al 0.000 0.000 0.000
Cu 0.250 0.250 0.250

# 4
First-principles (GGA-PBE) data for a geometry-optimized LaBeAlCu6 structure, as listed in Alexandria via LeMat-Bulk.

Computed properties:
Its space group is No. 74.

Cell: 7.889 5.199 8.278 Å, 108.30 118.46 90.00°
Sites, in units of the cell vectors:
La 0.754 0.504 0.507
La 0.246 0.496 0.493
Be 0.500 0.500 0.000
Be 0.500 0.000 0.000
Al 0.500 0.000 0.500
Al 0.000 0.000 0.500
Cu 0.635 0.885 0.271
Cu 0.999 0.249 0.999
Cu 0.848 0.094 0.179
Cu 0.331 0.585 0.179
Cu 0.331 0.094 0.179
Cu 0.848 0.585 0.179
Cu 0.365 0.115 0.729
Cu 0.001 0.751 0.001
Cu 0.152 0.906 0.821
Cu 0.669 0.415 0.821
Cu 0.669 0.906 0.821
Cu 0.152 0.415 0.821

# 5
First-principles (GGA-PBE) data for a geometry-optimized LaBeAl2Cu4 structure, as listed in Alexandria via LeMat-Bulk.

Computed properties:
Its space group is No. 166.

Cell: 4.111 4.111 8.981 Å, 76.77 76.77 60.00°
Sites, in units of the cell vectors:
La 0.000 0.000 0.000
Be 0.500 0.500 0.500
Al 0.763 0.763 0.710
Al 0.237 0.237 0.290
Cu 0.413 0.413 0.762
Cu 0.862 0.862 0.415
Cu 0.138 0.138 0.585
Cu 0.587 0.587 0.238

# 6
First-principles (GGA-PBE) data for a geometry-optimized La2BeAl3Cu12 structure, as listed in Alexandria via LeMat-Bulk.

Computed properties:
Its space group is No. 166.

Cell: 9.393 9.393 9.393 Å, 38.97 38.97 38.97°
Sites, in units of the cell vectors:
La 0.658 0.658 0.658
La 0.342 0.342 0.342
Be 0.000 0.000 0.000
Al 0.500 0.000 0.000
Al 0.000 0.500 0.000
Al 0.000 0.000 0.500
Cu 0.421 0.421 0.812
Cu 0.936 0.936 0.335
Cu 0.335 0.936 0.936
Cu 0.812 0.421 0.421
Cu 0.936 0.335 0.936
Cu 0.421 0.812 0.421
Cu 0.579 0.579 0.188
Cu 0.064 0.064 0.665
Cu 0.665 0.064 0.064
Cu 0.188 0.579 0.579
Cu 0.064 0.665 0.064
Cu 0.579 0.188 0.579

# 7
First-principles (GGA-PBE) data for a geometry-optimized LiBe2Al2Cu5 structure, as listed in Alexandria via LeMat-Bulk.

Computed properties:
Its space group is No. 127.

Cell: 3.540 8.251 8.251 Å, 90.00 90.00 90.00°
Sites, in units of the cell vectors:
Li 0.000 0.000 0.000
Li 0.000 0.500 0.500
Be 0.000 0.117 0.617
Be 0.000 0.883 0.383
Be 0.000 0.617 0.883
Be 0.000 0.383 0.117
Al 0.000 0.677 0.177
Al 0.000 0.323 0.823
Al 0.000 0.177 0.323
Al 0.000 0.823 0.677
Cu 0.500 0.206 0.075
Cu 0.500 0.794 0.925
Cu 0.500 0.075 0.794
Cu 0.500 0.706 0.425
Cu 0.500 0.925 0.206
Cu 0.500 0.294 0.575
Cu 0.500 0.575 0.706
Cu 0.500 0.425 0.294
Cu 0.500 0.500 0.000
Cu 0.500 0.000 0.500

# 8
First-principles (GGA-PBE) data for a geometry-optimized Li2Be2AlCu5 structure, as listed in Alexandria via LeMat-Bulk.

Computed properties:
Its space group is No. 127.

Cell: 3.435 8.465 8.465 Å, 90.00 90.00 90.00°
Sites, in units of the cell vectors:
Li 0.000 0.677 0.177
Li 0.000 0.323 0.823
Li 0.000 0.177 0.323
Li 0.000 0.823 0.677
Be 0.000 0.116 0.616
Be 0.000 0.884 0.384
Be 0.000 0.616 0.884
Be 0.000 0.384 0.116
Al 0.000 0.000 0.000
Al 0.000 0.500 0.500
Cu 0.500 0.210 0.071
Cu 0.500 0.790 0.929
Cu 0.500 0.071 0.790
Cu 0.500 0.710 0.429
Cu 0.500 0.929 0.210
Cu 0.500 0.290 0.571
Cu 0.500 0.571 0.710
Cu 0.500 0.429 0.290
Cu 0.500 0.500 0.000
Cu 0.500 0.000 0.500

# 9
First-principles (GGA-PBE) data for a geometry-optimized LuBeAlCu structure, as listed in Alexandria via LeMat-Bulk.

Computed properties:
Its space group is No. 216.

Cell: 4.423 4.423 4.423 Å, 60.00 60.00 60.00°
Sites, in units of the cell vectors:
Be 0.750 0.750 0.750
Lu 0.000 0.000 0.000
Al 0.500 0.500 0.500
Cu 0.250 0.250 0.250

# 10
First-principles (GGA-PBE) data for a geometry-optimized Mg2BeAl2Cu5 structure, as listed in Alexandria via LeMat-Bulk.

Computed properties:
Its space group is No. 127.

Cell: 2.907 9.935 9.935 Å, 90.00 90.00 90.00°
Sites, in units of the cell vectors:
Mg 0.000 0.666 0.166
Mg 0.000 0.334 0.834
Mg 0.000 0.166 0.334
Mg 0.000 0.834 0.666
Be 0.000 0.000 0.000
Be 0.000 0.500 0.500
Al 0.000 0.138 0.638
Al 0.000 0.862 0.362
Al 0.000 0.638 0.862
Al 0.000 0.362 0.138
Cu 0.500 0.173 0.061
Cu 0.500 0.827 0.939
Cu 0.500 0.061 0.827
Cu 0.500 0.673 0.439
Cu 0.500 0.939 0.173
Cu 0.500 0.327 0.561
Cu 0.500 0.561 0.673
Cu 0.500 0.439 0.327
Cu 0.500 0.500 0.000
Cu 0.500 0.000 0.500

# 11
First-principles (GGA-PBE) data for a geometry-optimized Mg2Be2AlCu5 structure, as listed in Alexandria via LeMat-Bulk.

Computed properties:
Its space group is No. 127.

Cell: 3.343 8.800 8.800 Å, 90.00 90.00 90.00°
Sites, in units of the cell vectors:
Mg 0.000 0.678 0.178
Mg 0.000 0.322 0.822
Mg 0.000 0.178 0.322
Mg 0.000 0.822 0.678
Be 0.000 0.117 0.617
Be 0.000 0.883 0.383
Be 0.000 0.617 0.883
Be 0.000 0.383 0.117
Al 0.000 0.000 0.000
Al 0.000 0.500 0.500
Cu 0.500 0.212 0.067
Cu 0.500 0.788 0.933
Cu 0.500 0.067 0.788
Cu 0.500 0.712 0.433
Cu 0.500 0.933 0.212
Cu 0.500 0.288 0.567
Cu 0.500 0.567 0.712
Cu 0.500 0.433 0.288
Cu 0.500 0.500 0.000
Cu 0.500 0.000 0.500

# 12
First-principles (GGA-PBE) data for a geometry-optimized MnBeAlCu2 structure, as listed in Alexandria via LeMat-Bulk.

Computed properties:
Its space group is No. 123.

Cell: 4.435 4.261 4.435 Å, 90.00 90.00 90.00°
Each line ends with the local moment (μB).
Sites, in units of the cell vectors:
Be 0.000 0.500 0.000  -0.01
Mn 0.500 0.500 0.500  4.19
Al 0.000 0.000 0.000  0.01
Cu 0.000 0.000 0.500  0.02
Cu 0.500 0.000 0.000  -0.01

# 13
First-principles (GGA-PBE) data for a geometry-optimized Nd2Be3AlCu12 structure, as listed in Alexandria via LeMat-Bulk.

Computed properties:
Its space group is No. 166.

Cell: 7.342 7.342 7.342 Å, 61.85 61.85 61.85°
Sites, in units of the cell vectors:
Nd 0.604 0.604 0.604
Nd 0.396 0.396 0.396
Be 0.500 0.000 0.000
Be 0.000 0.500 0.000
Be 0.000 0.000 0.500
Al 0.000 0.000 0.000
Cu 0.334 0.334 0.902
Cu 0.875 0.875 0.390
Cu 0.390 0.875 0.875
Cu 0.902 0.334 0.334
Cu 0.875 0.390 0.875
Cu 0.334 0.902 0.334
Cu 0.666 0.666 0.098
Cu 0.125 0.125 0.610
Cu 0.610 0.125 0.125
Cu 0.098 0.666 0.666
Cu 0.125 0.610 0.125
Cu 0.666 0.098 0.666

# 14
First-principles (GGA-PBE) data for a geometry-optimized Nd2BeAl3Cu12 structure, as listed in Alexandria via LeMat-Bulk.

Computed properties:
Its space group is No. 166.

Cell: 9.452 9.452 9.452 Å, 38.29 38.29 38.29°
Sites, in units of the cell vectors:
Nd 0.655 0.655 0.655
Nd 0.345 0.345 0.345
Be 0.000 0.000 0.000
Al 0.500 0.000 0.000
Al 0.000 0.500 0.000
Al 0.000 0.000 0.500
Cu 0.421 0.421 0.814
Cu 0.932 0.932 0.338
Cu 0.338 0.932 0.932
Cu 0.814 0.421 0.421
Cu 0.932 0.338 0.932
Cu 0.421 0.814 0.421
Cu 0.579 0.579 0.186
Cu 0.068 0.068 0.662
Cu 0.662 0.068 0.068
Cu 0.186 0.579 0.579
Cu 0.068 0.662 0.068
Cu 0.579 0.186 0.579

# 15
First-principles (GGA-PBE) data for a geometry-optimized NdBeAl2Cu4 structure, as listed in Alexandria via LeMat-Bulk.

Computed properties:
Its space group is No. 166.

Cell: 4.099 4.099 8.813 Å, 76.55 76.55 60.00°
Sites, in units of the cell vectors:
Nd 0.000 0.000 0.000
Be 0.500 0.500 0.500
Al 0.762 0.762 0.714
Al 0.238 0.238 0.286
Cu 0.411 0.411 0.768
Cu 0.862 0.862 0.413
Cu 0.138 0.138 0.587
Cu 0.589 0.589 0.232

# 16
First-principles (GGA-PBE) data for a geometry-optimized BeAlCu2Os structure, as listed in Alexandria via LeMat-Bulk.

Computed properties:
Its space group is No. 123.

Cell: 3.902 4.237 3.902 Å, 90.00 90.00 90.00°
Sites, in units of the cell vectors:
Be 0.000 0.000 0.000
Os 0.500 0.500 0.500
Al 0.000 0.500 0.000
Cu 0.000 0.000 0.500
Cu 0.500 0.000 0.000

# 17
First-principles (GGA-PBE) data for a geometry-optimized BeAlCuOs structure, as listed in Alexandria via LeMat-Bulk.

Computed properties:
Its space group is No. 216.

Cell: 4.096 4.096 4.096 Å, 60.00 60.00 60.00°
Sites, in units of the cell vectors:
Be 0.500 0.500 0.500
Os 0.750 0.750 0.750
Al 0.000 0.000 0.000
Cu 0.250 0.250 0.250

# 18
First-principles (GGA-PBE) data for a geometry-optimized BeAlCuOs2 structure, as listed in Alexandria via LeMat-Bulk.

Computed properties:
Its space group is No. 123.

Cell: 4.500 4.155 4.500 Å, 90.00 90.00 90.00°
Each line ends with the local moment (μB).
Sites, in units of the cell vectors:
Be 0.500 0.500 0.500  -0.02
Os 0.000 0.000 0.500  0.66
Os 0.500 0.000 0.000  0.47
Al 0.000 0.500 0.000  -0.01
Cu 0.000 0.000 0.000  0.06

# 19
First-principles (GGA-PBE) data for a geometry-optimized PaBeAlCu structure, as listed in Alexandria via LeMat-Bulk.

Computed properties:
Its space group is No. 216.

Cell: 4.532 4.532 4.532 Å, 60.00 60.00 60.00°
Sites, in units of the cell vectors:
Be 0.750 0.750 0.750
Pa 0.000 0.000 0.000
Al 0.500 0.500 0.500
Cu 0.250 0.250 0.250

# 20
First-principles (GGA-PBE) data for a geometry-optimized PaBeAl2Cu4 structure, as listed in Alexandria via LeMat-Bulk.

Computed properties:
Its space group is No. 166.

Cell: 4.090 4.090 8.451 Å, 76.00 76.00 60.00°
Sites, in units of the cell vectors:
Pa 0.000 0.000 0.000
Be 0.500 0.500 0.500
Al 0.759 0.759 0.723
Al 0.241 0.241 0.277
Cu 0.405 0.405 0.785
Cu 0.865 0.865 0.406
Cu 0.135 0.135 0.594
Cu 0.595 0.595 0.215

| no. | electronic total energy (eV per cell) | DFT formation energy (eV/atom) |
| --- | --- | --- |
| 1 | -42.55 | -0.135 |
| 2 | -71.80 | 0.080 |
| 3 | -22.26 | -0.459 |
| 4 | -74.56 | -0.034 |
| 5 | -34.29 | -0.221 |
| 6 | -72.53 | 0.080 |
| 7 | -76.59 | -0.096 |
| 8 | -72.07 | -0.053 |
| 9 | -16.97 | -0.221 |
| 10 | -70.57 | -0.041 |
| 11 | -71.70 | -0.098 |
| 12 | -20.43 | 0.879 |
| 13 | -68.46 | 0.286 |
| 14 | -71.99 | 0.092 |
| 15 | -34.17 | -0.226 |
| 16 | -23.45 | 0.689 |
| 17 | -23.37 | -0.144 |
| 18 | -25.74 | 1.658 |
| 19 | -21.13 | -0.017 |
| 20 | -38.14 | -0.131 |